Record 1
Here is crystalline HoU5As6 at its relaxed geometry from Alexandria via LeMat-Bulk. Energies are from GGA-PBE.

## Properties
Magnetization ... 1.05 μB per atom
Formation energy from the elements ... -0.853 eV per atom
Calculated volume ... 580.5 Å³/cell

a b c (Å): 7.0976 12.3099 7.0556
angles (deg): 90.00 109.67 90.00
Closest atoms and distances in Å follow each position.
Space group C2/m (No. 12)
Unique sites:
Ho 0.0000 0.0000 0.0000  6 As 2.88-2.89
U 0.0000 0.1674 0.5000  6 As 2.89-2.90
U 0.0000 0.3340 0.0000  6 As 2.89
U 0.0000 0.5000 0.5000  6 As 2.90
As 0.2485 0.0000 0.7492  1 Ho 2.89, 5 U 2.89-2.90
As 0.2493 0.1664 0.2487  1 Ho 2.88, 5 U 2.89-2.90

Record 2
Here is crystalline CoAs2Ir2 at its relaxed geometry from Alexandria via LeMat-Bulk. Energies are from GGA-PBE.

## Properties
Magnetization ... 0.28 μB per atom
Formation energy from the elements ... 0.426 eV per atom
Calculated volume ... 169.0 Å³/cell

a b c (Å): 3.8631 3.8631 11.3244
angles (deg): 90.00 90.00 90.00
Closest atoms and distances in Å follow each position.
Space group I4/mmm (No. 139)
Unique sites:
Co 0.0000 0.0000 0.0000  8 Ir 3.01
As 0.0000 0.5000 0.2500  4 Ir 2.48, 4 As 2.73
Ir 0.0000 0.0000 0.3879  4 As 2.48, 1 Ir 2.54

Record 3
Here is crystalline La7Ho2Er2 at its relaxed geometry from Alexandria via LeMat-Bulk. Energies are from GGA-PBE.

## Properties
E above lowest polymorph ... 0.1815 eV per atom
Magnetization ... 0.00 μB per atom
Formation energy from the elements ... 0.303 eV per atom
Calculated volume ... 801.7 Å³/cell

a b c (Å): 12.1351 6.7397 9.8028
angles (deg): 90.00 90.05 90.00
Closest atoms and distances in Å follow each position.
Space group C2/m (No. 12)
Unique sites:
La 0.0000 0.0000 0.0000  2 Ho 3.25
La 0.0000 0.5000 0.1753  2 Ho 3.30, 1 La 3.44, 2 Er 3.59
La 0.2499 0.2497 0.3178  5 La 3.37-3.74, 2 Er 3.52, 2 Ho 3.55
Ho 0.2319 0.5000 0.0001  7 La 3.25-3.55, 2 Ho 3.40
Er 0.0000 0.2521 0.5000  2 Er 3.34-3.40, 6 La 3.52-3.59

Record 4
Here is crystalline K2CaAsS4 at its relaxed geometry from Alexandria via LeMat-Bulk. Energies are from GGA-PBE.

## Properties
Magnetization ... 0.00 μB per atom
Formation energy from raw total energies ... -896.5 meV per atom
Calculated volume ... 796.4 Å³/cell

a b c (Å): 7.8934 8.6268 11.6957
angles (deg): 90.00 90.00 90.00
Closest atoms and distances in Å follow each position.
Space group Imma (No. 74)
Unique sites:
K 0.0000 0.0000 0.0000  6 S 3.04-3.05
K 0.2500 0.2500 0.2500  6 S 3.25-3.28
Ca 0.0000 0.0000 0.5000  6 S 2.84-2.87
As 0.2500 0.2500 0.7500  6 S 2.57-2.62
S 0.0000 0.0497 0.7426  2 As 2.62, 1 Ca 2.87
S 0.2301 0.2500 0.5304  1 As 2.57, 2 Ca 2.84

Record 5
Here is crystalline PmY6Tm at its relaxed geometry from Alexandria via LeMat-Bulk. Energies are from GGA-PBE.

## Properties
E above lowest polymorph ... 0.0493 eV per atom
Magnetization ... 0.00 μB per atom
Formation energy from the elements ... 0.204 eV per atom
Calculated volume ... 262.5 Å³/cell

a b c (Å): 6.5733 6.7925 6.9335
angles (deg): 118.84 102.59 90.28
Closest atoms and distances in Å follow each position.
Space group P-1 (No. 2)
Unique sites:
Pm 0.0000 0.0000 0.0000  2 Tm 3.29, 4 Y 3.43-3.49
Y 0.2341 0.5781 0.4859  6 Y 3.29-3.66, 1 Tm 3.37
Y 0.2529 0.5502 0.0032  5 Y 3.29-3.66, 1 Tm 3.47, 1 Pm 3.49
Y 0.2710 0.0948 0.5248  5 Y 3.30-3.67, 1 Pm 3.43, 1 Tm 3.66
Tm 0.5000 0.0000 0.0000  2 Pm 3.29, 6 Y 3.37-3.66

Record 6
Here is crystalline Ti5Sn2H2 at its relaxed geometry from Alexandria via LeMat-Bulk. Energies are from GGA-PBE.

## Properties
Magnetization ... 0.00 μB per atom
Energy ... -115.10 eV per cell
Calculated volume ... 261.5 Å³/cell

a b c (Å): 9.9226 3.6874 7.1898
angles (deg): 90.00 96.35 90.00
Closest atoms and distances in Å follow each position.
Space group C2/m (No. 12)
Unique sites:
Ti 0.0000 0.0000 0.0000  2 H 1.85
Ti 0.1428 0.0000 0.4308  1 H 1.91
Ti 0.2033 0.5000 0.1400  2 H 1.92
Sn 0.0785 0.5000 0.7235  1 H 2.66, 6 Ti 2.88-2.93
H 0.1563 0.0000 0.1673  4 Ti 1.85-1.92

Record 7
Here is crystalline Li2TlSiO4 at its relaxed geometry from Alexandria via LeMat-Bulk. Energies are from GGA-PBE.

## Properties
Magnetization ... 0.00 μB per atom
Formation energy from raw total energies ... -1987.6 meV per atom
Calculated volume ... 191.4 Å³/cell

a b c (Å): 5.0173 5.0173 7.6036
angles (deg): 90.00 90.00 90.00
Closest atoms and distances in Å follow each position.
Space group I-42m (No. 121)
Unique sites:
Li 0.0000 0.5000 0.2500  4 O 2.04
Tl 0.0000 0.0000 0.0000  4 O 2.44
Si 0.0000 0.0000 0.5000  4 O 1.66
O 0.1867 0.1867 0.3684  1 Si 1.66

Record 8
Here is crystalline Rb3I2O2 at its relaxed geometry from Alexandria via LeMat-Bulk. Energies are from GGA-PBE.

## Properties
Magnetization ... 0.14 μB per atom
Formation energy from raw total energies ... -1158.2 meV per atom
Calculated volume ... 567.6 Å³/cell

a b c (Å): 4.9564 5.5275 20.7177
angles (deg): 90.00 90.00 90.00
Closest atoms and distances in Å follow each position.
Space group Immm (No. 71)
Unique sites:
Rb 0.0000 0.0000 0.0000  4 O 2.85
Rb 0.0000 0.0000 0.3517  2 O 3.56, 5 I 3.74
I 0.0000 0.0000 0.1710  6 Rb 3.54-3.74
O 0.1372 0.5000 0.0000  1 O 1.36

Record 9
Here is crystalline Ca3Bi3Pd2 at its relaxed geometry from Alexandria via LeMat-Bulk. Energies are from GGA-PBE.

## Properties
E above lowest polymorph ... 0.0000 eV per atom
Magnetization ... 0.00 μB per atom
Formation energy from the elements ... -0.738 eV per atom
Calculated volume ... 861.5 Å³/cell

a b c (Å): 4.6908 11.4565 16.0311
angles (deg): 90.00 90.00 90.00
Closest atoms and distances in Å follow each position.
Space group Cmcm (No. 63)
Unique sites:
Ca 0.0000 0.0810 0.1110  3 Pd 3.27-3.40, 7 Bi 3.32-3.59
Ca 0.0000 0.3539 0.2500  4 Pd 3.31, 5 Bi 3.34-3.46
Bi 0.0000 0.3537 0.7500  2 Pd 2.82
Bi 0.0000 0.3692 0.0341  3 Pd 2.77-2.99
Pd 0.0000 0.2042 0.6103  4 Bi 2.77-2.99

Record 10
Here is crystalline LaPm3SmDy at its relaxed geometry from Alexandria via LeMat-Bulk. Energies are from GGA-PBE.

## Properties
Magnetization ... 0.00 μB per atom
Formation energy from the elements ... 0.020 eV per atom
Calculated volume ... 411.9 Å³/cell

a b c (Å): 8.1405 5.1729 10.3109
angles (deg): 90.00 108.46 90.00
Closest atoms and distances in Å follow each position.
Space group P2_1/m (No. 11)
Unique sites:
La 0.1679 0.2500 0.2910  3 Sm 3.65-3.66, 8 Pm 3.65-3.67, 1 Dy 3.66
Pm 0.1695 0.2500 0.7931  1 Sm 3.61, 3 Dy 3.62, 6 Pm 3.63-3.69, 2 La 3.67
Pm 0.1687 0.7500 0.5439  1 Dy 3.62, 3 Sm 3.63-3.66, 5 Pm 3.64-3.69, 3 La 3.66-3.67
Pm 0.1704 0.7500 0.0408  3 Dy 3.58-3.64, 1 Sm 3.62, 5 Pm 3.63-3.69, 3 La 3.65-3.66
Sm 0.4995 0.2500 0.6271  5 Pm 3.61-3.66, 3 La 3.65-3.66, 2 Dy 3.65, 2 Sm 3.68
Dy 0.4974 0.7500 0.8766  7 Pm 3.58-3.64, 2 Dy 3.62, 2 Sm 3.65, 1 La 3.66

Record 11
Here is crystalline LiGdZnGa at its relaxed geometry from Alexandria via LeMat-Bulk. Energies are from GGA-PBE.

## Properties
Magnetization ... 1.76 μB per atom
Formation energy from the elements ... -0.371 eV per atom
Calculated volume ... 317.5 Å³/cell

a b c (Å): 6.8218 6.8218 6.8218
angles (deg): 90.00 90.00 90.00
Closest atoms and distances in Å follow each position.
Space group F-43m (No. 216)
Unique sites:
Li 0.0000 0.0000 0.0000  4 Ga 2.95, 4 Zn 2.95
Gd 0.0000 0.0000 0.5000  4 Zn 2.95, 4 Ga 2.95
Zn 0.2500 0.2500 0.2500  4 Li 2.95, 4 Gd 2.95
Ga 0.2500 0.2500 0.7500  4 Gd 2.95, 4 Li 2.95

Record 12
Here is crystalline Tl2Co2Pt at its relaxed geometry from Alexandria via LeMat-Bulk. Energies are from GGA-PBE.

## Properties
Magnetization ... 0.10 μB per atom
Formation energy from the elements ... 0.378 eV per atom
Calculated volume ... 170.4 Å³/cell

a b c (Å): 6.5668 6.5668 3.9518
angles (deg): 90.00 90.00 90.00
Closest atoms and distances in Å follow each position.
Space group P4/mbm (No. 127)
Unique sites:
Tl 0.1786 0.3214 0.0000  6 Co 2.70-2.82
Co 0.1228 0.6228 0.5000  1 Co 2.28
Pt 0.0000 0.0000 0.5000  4 Co 2.60

Record 13
Here is crystalline In2SnSb at its relaxed geometry from Alexandria via LeMat-Bulk. Energies are from GGA-PBE.

## Properties
E above lowest polymorph ... 0.0312 eV per atom
Magnetization ... 0.00 μB per atom
Formation energy from raw total energies ... 86.0 meV per atom
Calculated volume ... 338.2 Å³/cell

a b c (Å): 3.3392 3.3392 35.0208
angles (deg): 90.00 90.00 120.00
Closest atoms and distances in Å follow each position.
Space group R-3m (No. 166, hexagonal axes)
Unique sites:
In 0.0000 0.0000 0.0876  1 Sn 3.07, 6 In 3.34, 3 Sb 3.37
Sn 0.0000 0.0000 0.0000  2 In 3.07, 6 Sn 3.34
Sb 0.0000 0.0000 0.5000  6 Sb 3.34, 6 In 3.37

Record 14
Here is crystalline ErMnAgPd at its relaxed geometry from Alexandria via LeMat-Bulk. Energies are from GGA-PBE.

## Properties
Magnetization ... 1.06 μB per atom
Formation energy from the elements ... -0.273 eV per atom
Calculated volume ... 304.4 Å³/cell

a b c (Å): 6.7272 6.7272 6.7272
angles (deg): 90.00 90.00 90.00
Closest atoms and distances in Å follow each position.
Space group F-43m (No. 216)
Unique sites:
Er 0.0000 0.0000 0.0000  4 Pd 2.91, 4 Ag 2.91
Mn 0.0000 0.0000 0.5000  4 Pd 2.91, 4 Ag 2.91
Ag 0.2500 0.2500 0.7500  4 Er 2.91, 4 Mn 2.91
Pd 0.2500 0.2500 0.2500  4 Mn 2.91, 4 Er 2.91

Record 15
Here is crystalline NpInS2 at its relaxed geometry from Alexandria via LeMat-Bulk. Energies are from GGA-PBE.

## Properties
E above lowest polymorph ... 0.1062 eV per atom
Magnetization ... 0.99 μB per atom
Formation energy from raw total energies ... -846.3 meV per atom
Calculated volume ... 88.5 Å³/cell

a b c (Å): 3.4543 3.4543 7.4154
angles (deg): 90.00 90.00 90.00
Closest atoms and distances in Å follow each position.
Space group P4/mmm (No. 123)
Unique sites:
Np 0.0000 0.0000 0.0000  8 S 2.88
In 0.0000 0.0000 0.5000  8 S 3.27, 4 In 3.45
S 0.5000 0.5000 0.2070  4 Np 2.88, 1 S 3.07

Record 16
Here is crystalline Na3Y2PdO6 at its relaxed geometry from Alexandria via LeMat-Bulk. Energies are from GGA-PBE.

## Properties
Magnetization ... 0.08 μB per atom
Formation energy from raw total energies ... -2092.3 meV per atom
Calculated volume ... 322.4 Å³/cell

a b c (Å): 5.7454 10.0337 5.8806
angles (deg): 90.00 108.02 90.00
Closest atoms and distances in Å follow each position.
Space group C2/m (No. 12)
Unique sites:
Na 0.0000 0.0000 0.0000  6 O 2.48-2.61
Na 0.0000 0.3419 0.0000  6 O 2.44-2.54
Y 0.0000 0.1697 0.5000  6 O 2.27-2.32
Pd 0.0000 0.5000 0.5000  6 O 2.10-2.31
O 0.2413 0.3334 0.7243  2 Y 2.27-2.29, 1 Pd 2.31, 3 Na 2.44-2.54
O 0.2442 0.5000 0.2975  1 Pd 2.10, 2 Y 2.32

Record 17
Here is crystalline Pu2ScPaSe4 at its relaxed geometry from Alexandria via LeMat-Bulk. Energies are from GGA-PBE.

## Properties
Magnetization ... 0.10 μB per atom
Formation energy from raw total energies ... -1451.7 meV per atom
Calculated volume ... 188.2 Å³/cell

a b c (Å): 6.9148 4.0024 7.1856
angles (deg): 90.00 108.87 90.00
Closest atoms and distances in Å follow each position.
Space group P2/m (No. 10)
Unique sites:
Pu 0.0000 0.0000 0.0000  6 Se 2.95-2.96
Pu 0.0000 0.5000 0.5000  6 Se 2.86-2.87
Sc 0.5000 0.0000 0.5000  6 Se 2.78
Pa 0.5000 0.5000 0.0000  6 Se 2.87-2.88
Se 0.2564 0.0000 0.7412  1 Sc 2.78, 3 Pu 2.86-2.96, 2 Pa 2.88
Se 0.2647 0.5000 0.2634  2 Sc 2.78, 1 Pa 2.87, 3 Pu 2.87-2.95

Record 18
Here is crystalline LiPu3Hg12 at its relaxed geometry from Alexandria via LeMat-Bulk. Energies are from GGA-PBE.

## Properties
Magnetization ... 0.38 μB per atom
Formation energy from the elements ... -0.116 eV per atom
Calculated volume ... 403.2 Å³/cell

a b c (Å): 4.6447 4.6770 18.5626
angles (deg): 90.00 90.00 90.00
Closest atoms and distances in Å follow each position.
Space group Pmmm (No. 47)
Unique sites:
Li 0.0000 0.0000 0.0000  12 Hg 3.16-3.30
Pu 0.0000 0.0000 0.2406  12 Hg 3.29-3.37
Pu 0.0000 0.0000 0.5000  12 Hg 3.30-3.35
Hg 0.0000 0.5000 0.1156  8 Hg 3.16-3.32, 2 Li 3.17, 2 Pu 3.29
Hg 0.0000 0.5000 0.3711  8 Hg 3.30-3.33, 4 Pu 3.35-3.37
Hg 0.5000 0.0000 0.1152  2 Li 3.16, 8 Hg 3.17-3.34, 2 Pu 3.29
Hg 0.5000 0.0000 0.3710  8 Hg 3.30-3.35, 4 Pu 3.34-3.36
Hg 0.5000 0.5000 0.0000  8 Hg 3.16-3.17, 4 Li 3.30
Hg 0.5000 0.5000 0.2437  4 Pu 3.30, 8 Hg 3.31-3.34
Hg 0.5000 0.5000 0.5000  4 Pu 3.30, 8 Hg 3.33-3.35

Record 19
Here is crystalline Tm3RhCl3 at its relaxed geometry from Alexandria via LeMat-Bulk. Energies are from GGA-PBE.

## Properties
Magnetization ... 0.00 μB per atom
Formation energy from raw total energies ... -1519.9 meV per atom
Calculated volume ... 1170.7 Å³/cell

a b c (Å): 6.5799 6.5799 31.2241
angles (deg): 90.00 90.00 120.00
Closest atoms and distances in Å follow each position.
Space group R-3 (No. 148, hexagonal axes)
Unique sites:
Tm 0.0000 0.3524 0.0529  2 Rh 2.70, 3 Cl 2.75-2.82
Rh 0.0000 0.0000 0.3333  6 Tm 2.70
Cl 0.9997 0.3216 0.8919  3 Tm 2.75-2.82

Record 20
Here is crystalline Zr3Os2 at its relaxed geometry from Alexandria via LeMat-Bulk. Energies are from GGA-PBE.

## Properties
E above lowest polymorph ... 0.4386 eV per atom
Magnetization ... 0.00 μB per atom
Formation energy from the elements ... 0.018 eV per atom
Calculated volume ... 292.0 Å³/cell

a b c (Å): 3.2114 3.2114 32.6940
angles (deg): 90.00 90.00 120.00
Closest atoms and distances in Å follow each position.
Space group R-3m (No. 166, hexagonal axes)
Unique sites:
Zr 0.0000 0.0000 0.0000  6 Os 2.79
Zr 0.0000 0.0000 0.2076  3 Os 2.75
Os 0.0000 0.0000 0.3969  6 Zr 2.75-2.79

Record 21
Here is crystalline HoAl12Co4 at its relaxed geometry from Alexandria via LeMat-Bulk. Energies are from GGA-PBE.

## Properties
Magnetization ... 0.10 μB per atom
Formation energy from the elements ... -0.125 eV per atom
Calculated volume ... 715.5 Å³/cell

a b c (Å): 8.9440 8.9440 8.9440
angles (deg): 90.00 90.00 90.00
Closest atoms and distances in Å follow each position.
Space group Im-3m (No. 229)
Unique sites:
Ho 0.0000 0.0000 0.0000  12 Al 3.27
Al 0.0000 0.2582 0.2582  2 Co 2.24
Co 0.2500 0.2500 0.2500  6 Al 2.24

Record 22
Here is crystalline Tb9Dy2Tm at its relaxed geometry from Alexandria via LeMat-Bulk. Energies are from GGA-PBE.

## Properties
E above lowest polymorph ... 0.0341 eV per atom
Magnetization ... 0.00 μB per atom
Formation energy from the elements ... 0.054 eV per atom
Calculated volume ... 377.8 Å³/cell

a b c (Å): 11.1975 11.1975 3.4795
angles (deg): 90.00 90.00 120.00
Closest atoms and distances in Å follow each position.
Space group P6/mmm (No. 191)
Unique sites:
Tb 0.0000 0.5000 0.0000  2 Dy 3.23, 10 Tb 3.48-3.61
Tb 0.1747 0.3493 0.5000  8 Tb 3.39-3.61, 2 Dy 3.54
Dy 0.3333 0.6667 0.0000  9 Tb 3.23-3.54, 2 Dy 3.48
Tm 0.0000 0.0000 0.0000  2 Tm 3.48, 12 Tb 3.81